# 1
## Ta2CrPb (PBE)

Data for Ta2CrPb after structural relaxation.

Its density of states at the Fermi level is 3.3 states/eV/f.u. The value obtained for the size of the total moment is 0.01 μB per atom. The total energy is -35.27 eV per cell. As for the formation energy: 0.44 eV per atom.

The structure belongs to space group P2/m (No. 10); the cell edges are 3.0766, 4.0634 and 5.9159 Å and the angles 90.00°, 97.32° and 90.00°. The inequivalent atoms are Ta at (0.0861, 0.0000, 0.2895), Cr at (0.5000, 0.5000, 0.5000) and Pb at (0.5000, 0.5000, 0.0000).


# 2
## YTlIr2 (PBE)

Data for YTlIr2 after structural relaxation.

As for the energy above the most stable polymorph in this dataset: 0.000 eV per atom. Its density of states at the Fermi level is 0.5 states/eV/f.u. The value obtained for the size of the total moment is 0.00 μB per atom. The total energy is -27.58 eV per cell. As for the formation energy: -0.26 eV per atom.

The structure belongs to space group P4/mmm (No. 123); the cell edges are 4.4585, 4.4585 and 3.7952 Å and the angles 90.00°, 90.00° and 90.00°. The inequivalent atoms are Y at (0.0000, 0.0000, 0.0000), Tl at (0.5000, 0.5000, 0.0000) and Ir at (0.0000, 0.5000, 0.5000).


# 3
## Sm5Ho12Sn3 (PBE)

Data for Sm5Ho12Sn3 after structural relaxation.

Its density of states at the Fermi level is 33.2 states/eV/f.u. The value obtained for the size of the total moment is 0.00 μB per atom. The total energy is -610.42 eV per cell. As for the formation energy: 0.71 eV per atom.

The structure belongs to space group Ia-3d (No. 230); the cell edges are 18.2468, 18.2468 and 18.2468 Å and the angles 90.00°, 90.00° and 90.00°. The inequivalent atoms are Sm at (0.0000, 0.0000, 0.0000), Sm at (0.0000, 0.2500, 0.3750), Ho at (0.0045, 0.0822, 0.6500) and Sn at (0.0000, 0.2500, 0.1250).


# 4
## Ac3HgCCl (PBE)

Data for Ac3HgCCl after structural relaxation.

The calculation puts the uncorrected formation energy at -0.4954 eV per atom. Its density of states at the Fermi level is 4.8 states/eV/f.u. The value obtained for the size of the total moment is 0.15 μB per atom. The total energy is -53.34 eV per cell.

The structure belongs to space group P2_1/m (No. 11); the cell edges are 9.5570, 4.1015 and 9.7596 Å and the angles 90.00°, 97.12° and 90.00°. The inequivalent atoms are Ac at (0.0576, 0.2500, 0.3534), Ac at (0.1737, 0.2500, 0.9274), Ac at (0.3362, 0.7500, 0.6151), Hg at (0.3115, 0.7500, 0.2560), C at (0.1554, 0.2500, 0.6534) and Cl at (0.3957, 0.7500, 0.9125).


# 5
## NaAlTlZn (PBE)

Data for NaAlTlZn after structural relaxation.

Its density of states at the Fermi level is 2.2 states/eV/f.u. The value obtained for the size of the total moment is 0.00 μB per atom. The total energy is -32.92 eV per cell. As for the formation energy: 0.12 eV per atom.

The structure belongs to space group F-43m (No. 216); the cell edges are 7.0441, 7.0441 and 7.0441 Å and the angles 90.00°, 90.00° and 90.00°. The inequivalent atoms are Na at (0.0000, 0.0000, 0.0000), Al at (0.0000, 0.0000, 0.5000), Tl at (0.2500, 0.2500, 0.7500) and Zn at (0.2500, 0.2500, 0.2500).


# 6
## MgTlGa (PBE)

Data for MgTlGa after structural relaxation.

Its density of states at the Fermi level is 1.1 states/eV/f.u. The value obtained for the size of the total moment is 0.00 μB per atom. The total energy is -13.78 eV per cell. As for the formation energy: 0.03 eV per atom.

The structure belongs to space group P1 (No. 1); the cell edges are 3.5998, 5.2622 and 8.5475 Å and the angles 107.52°, 90.11° and 109.90°. The inequivalent atoms are Mg at (0.0000, 0.0000, 0.0000), Mg at (0.3226, 0.6445, 0.7041), Tl at (0.9996, 0.9957, 0.5374), Tl at (0.6630, 0.3286, 0.3175), Ga at (0.3157, 0.6324, 0.1104) and Ga at (0.6660, 0.3320, 0.8609).


- size of the total moment of number 3 (Sm5Ho12Sn3)?
  0.00 μB per atom